Entry 1:
# MnOs2Rh PBE-GGA optimized geometry
# VASP energy, eV/atom: -8.462
# Crystal system: tetragonal
# Formation energy from the elements, eV/atom: 1.283
# Density, g/cm³: 11.49
data_MnOs2Rh
_chemical_formula_sum 'Mn2 Os4 Rh2'
_space_group_name_H-M_alt 'P 1'
_space_group_IT_number 1
_space_group_name_Hall 'P 1'
_cell_length_a 5.193
_cell_length_b 5.193
_cell_length_c 6.838
_cell_angle_alpha 67.69
_cell_angle_beta 67.69
_cell_angle_gamma 90.00
loop_
_atom_site_label
_atom_site_type_symbol
_atom_site_fract_x
_atom_site_fract_y
_atom_site_fract_z
Rh1 Rh 0.000 0.000 0.000
Rh2 Rh 0.750 0.250 0.500
Mn1 Mn 0.500 0.500 0.000
Mn2 Mn 0.250 0.750 0.500
Os1 Os 0.599 0.125 0.250
Os2 Os 0.151 0.625 0.250
Os3 Os 0.375 0.401 0.750
Os4 Os 0.875 0.849 0.750

Entry 2:
# Mn2OsRh PBE-GGA optimized geometry
# VASP energy, eV/atom: -8.068
# Crystal system: tetragonal
# Formation energy from the elements, eV/atom: 1.162
# Density, g/cm³: 9.48
data_Mn2OsRh
_chemical_formula_sum 'Mn4 Os2 Rh2'
_space_group_name_H-M_alt 'P 1'
_space_group_IT_number 1
_space_group_name_Hall 'P 1'
_cell_length_a 5.714
_cell_length_b 5.714
_cell_length_c 5.918
_cell_angle_alpha 61.13
_cell_angle_beta 61.13
_cell_angle_gamma 90.00
loop_
_atom_site_label
_atom_site_type_symbol
_atom_site_fract_x
_atom_site_fract_y
_atom_site_fract_z
Rh1 Rh 0.500 0.500 0.000
Rh2 Rh 0.250 0.750 0.500
Mn1 Mn 0.627 0.125 0.250
Mn2 Mn 0.123 0.625 0.250
Mn3 Mn 0.375 0.373 0.750
Mn4 Mn 0.875 0.877 0.750
Os1 Os 0.000 0.000 0.000
Os2 Os 0.750 0.250 0.500